DFT (PBE-GGA) results for a geometry-optimized Ac2La5Y3 structure.

Results
Calculated total energy, eV per formula unit: -50.521
Formation enthalpy at 0 K, eV per atom: 0.173

```
20
Lattice="5.602 -7.375 0.000 5.602 7.375 0.000 -5.594 0.000 9.091" Properties=species:S:1:pos:R:3 pbc="T T T"
Ac 1.410 1.859 0.523
Ac -1.387 -1.859 5.068
Ac 6.997 1.859 4.022
Ac 4.200 -1.859 8.568
La 1.407 7.043 6.818
La -1.377 1.876 6.820
La 1.407 3.908 6.818
La 1.420 -1.876 2.275
La 4.204 0.190 2.273
La 1.407 -0.190 6.818
La 4.190 1.876 6.816
La 4.204 -3.908 2.273
La 6.988 -1.876 2.271
La 4.204 -7.043 2.273
Y 1.444 1.843 4.008
Y 4.204 3.355 2.273
Y -1.353 -1.843 8.553
Y 6.963 1.843 0.538
Y 1.407 -3.355 6.818
Y 4.166 -1.843 5.083
```

***

DFT (PBE-GGA) results for a geometry-optimized TaCo4Ir structure.

Results
Calculated total energy, eV per formula unit: -50.337
Polymorph energy (0 for the lowest one), eV per atom: 0.000
Formation enthalpy at 0 K, eV per atom: -0.200

```
6
Lattice="0.000 3.339 3.339 3.339 0.000 3.339 3.339 3.339 0.000" Properties=species:S:1:pos:R:3 pbc="T T T"
Ta 0.000 0.000 0.000
Co 4.171 2.508 2.508
Co 2.508 4.171 2.508
Co 2.508 2.508 4.171
Co 4.171 4.171 4.171
Ir 1.670 1.670 1.670
```

***

DFT (PBE-GGA) results for a geometry-optimized TcGeSN2 structure.

Results
Calculated total energy, eV per formula unit: -28.871
Polymorph energy (0 for the lowest one), eV per atom: 0.844
Uncorrected formation energy, eV/atom: 1.378

```
5
Lattice="3.694 0.000 0.000 0.000 3.694 0.000 0.000 0.000 5.236" Properties=species:S:1:pos:R:3 pbc="T T T"
Tc 0.000 0.000 0.000
Ge 1.847 1.847 2.618
S 1.847 1.847 0.000
N 0.000 1.847 2.618
N 1.847 0.000 2.618
```

***

DFT (PBE-GGA) results for a geometry-optimized TbNd2Sb2 structure.

Results
Calculated total energy, eV per formula unit: -26.700
Uncorrected formation energy, eV/atom: -0.858

```
10
Lattice="-4.314 5.978 3.190 4.314 -5.978 3.190 4.314 5.978 -3.190" Properties=species:S:1:pos:R:3 pbc="T T T"
Tb 0.000 0.000 1.595
Tb 0.000 0.000 4.786
Nd 5.541 1.805 0.000
Nd 1.227 4.173 0.000
Nd 3.087 1.805 3.190
Nd -1.227 4.173 3.190
Sb 2.401 1.293 0.000
Sb 2.401 -1.293 3.190
Sb 1.914 7.271 0.000
Sb 1.914 4.685 3.190
```

***

DFT (PBE-GGA) results for a geometry-optimized Rb3AsPd structure.

Results
Calculated total energy, eV per formula unit: -11.331
Polymorph energy (0 for the lowest one), eV per atom: 0.223
Formation enthalpy at 0 K, eV per atom: 0.283

```
5
Lattice="6.225 0.000 0.000 0.000 6.225 0.000 0.000 0.000 6.225" Properties=species:S:1:pos:R:3 pbc="T T T"
Rb 0.000 0.000 3.112
Rb 0.000 3.112 0.000
Rb 3.112 0.000 0.000
As 3.112 3.112 3.112
Pd 0.000 0.000 0.000
```

***

DFT (PBE-GGA) results for a geometry-optimized NaSm2Ho structure.

Results
Calculated total energy, eV per formula unit: -14.788
Polymorph energy (0 for the lowest one), eV per atom: 0.028
Formation enthalpy at 0 K, eV per atom: 0.137

```
4
Lattice="1.769 1.021 12.771 -1.769 1.021 12.771 0.000 -2.043 12.771" Properties=species:S:1:pos:R:3 pbc="T T T"
Na 0.000 0.000 0.000
Sm 0.000 0.000 3.535
Sm 0.000 0.000 34.779
Ho 0.000 0.000 19.157
```

***

DFT (PBE-GGA) results for a geometry-optimized ScBi2Pb structure.

Results
Calculated total energy, eV per formula unit: -18.429
Formation enthalpy at 0 K, eV per atom: -0.157

```
4
Lattice="5.277 0.000 0.000 0.000 5.277 0.000 0.000 0.000 4.125" Properties=species:S:1:pos:R:3 pbc="T T T"
Sc 0.000 0.000 0.000
Bi 0.000 2.639 2.062
Bi 2.639 0.000 2.062
Pb 2.639 2.639 0.000
```

***

DFT (PBE-GGA) results for a geometry-optimized RbBiS2Cl structure.

Results
Calculated total energy, eV per formula unit: -18.119
Polymorph energy (0 for the lowest one), eV per atom: 0.000
Uncorrected formation energy, eV/atom: -0.634

```
5
Lattice="5.283 0.000 0.000 0.000 5.283 0.000 0.000 0.000 5.641" Properties=species:S:1:pos:R:3 pbc="T T T"
Rb 0.000 0.000 0.000
Bi 2.641 2.641 2.820
S 0.000 2.641 2.820
S 2.641 0.000 2.820
Cl 2.641 2.641 0.000
```